[1]
# PBE BaTl2SeS, relaxed
# Fermi-level density of states: 0.407 states/eV per atom
# Crystal system: tetragonal
# Offset from the most stable computed form: 513.7 meV/atom
data_BaTl2SeS
_symmetry_space_group_name_H-M 'P 4/m m m'
_symmetry_Int_Tables_number 123
_symmetry_space_group_name_Hall '-P 4 2'
_cell_length_a 5.727
_cell_length_b 5.727
_cell_length_c 5.193
_cell_angle_alpha 90.00
_cell_angle_beta 90.00
_cell_angle_gamma 90.00
loop_
_atom_site_label
_atom_site_type_symbol
_atom_site_fract_x
_atom_site_fract_y
_atom_site_fract_z
Ba1 Ba 0.000 0.000 0.000
Tl1 Tl 0.000 0.500 0.500
Se1 Se 0.500 0.500 0.000
S1 S 0.500 0.500 0.500

[2]
# PBE BaTl2SeS, relaxed
# Crystal system: tetragonal
# Offset from the most stable computed form: 0.0 meV/atom
data_BaTl2SeS
_symmetry_space_group_name_H-M 'P 4 m m'
_symmetry_Int_Tables_number 99
_symmetry_space_group_name_Hall 'P 4 -2'
_cell_length_a 4.789
_cell_length_b 4.789
_cell_length_c 8.107
_cell_angle_alpha 90.00
_cell_angle_beta 90.00
_cell_angle_gamma 90.00
loop_
_atom_site_label
_atom_site_type_symbol
_atom_site_fract_x
_atom_site_fract_y
_atom_site_fract_z
Ba1 Ba 0.000 0.000 0.000
Tl1 Tl 0.000 0.500 0.417
Se1 Se 0.500 0.500 0.091
S1 S 0.000 0.000 0.633

[3]
# PBE BaTlSeS2, relaxed
# Fermi-level density of states: 1.047 states/eV per atom
# Crystal system: tetragonal
data_BaTlSeS2
_symmetry_space_group_name_H-M 'P 4/m m m'
_symmetry_Int_Tables_number 123
_symmetry_space_group_name_Hall '-P 4 2'
_cell_length_a 5.223
_cell_length_b 5.223
_cell_length_c 5.431
_cell_angle_alpha 90.00
_cell_angle_beta 90.00
_cell_angle_gamma 90.00
loop_
_atom_site_label
_atom_site_type_symbol
_atom_site_fract_x
_atom_site_fract_y
_atom_site_fract_z
Ba1 Ba 0.000 0.000 0.000
Tl1 Tl 0.500 0.500 0.500
Se1 Se 0.500 0.500 0.000
S1 S 0.000 0.500 0.500

[4]
# PBE Ba2Tl2Se2S, relaxed
# Fermi-level density of states: 0.000 states/eV per atom
# Crystal system: monoclinic
data_Ba2Tl2Se2S
_symmetry_space_group_name_H-M 'C 1 2/m 1'
_symmetry_Int_Tables_number 12
_symmetry_space_group_name_Hall '-C 2y'
_cell_length_a 15.755
_cell_length_b 4.248
_cell_length_c 8.259
_cell_angle_alpha 90.00
_cell_angle_beta 105.42
_cell_angle_gamma 90.00
loop_
_atom_site_label
_atom_site_type_symbol
_atom_site_fract_x
_atom_site_fract_y
_atom_site_fract_z
Ba1 Ba 0.008 0.000 0.237
Tl1 Tl 0.233 0.500 0.780
Se1 Se 0.126 0.500 0.044
S1 S 0.000 0.500 0.500

[5]
# PBE Ba2USe2S2, relaxed
# Fermi-level density of states: 1.043 states/eV per atom
# Crystal system: tetragonal
data_Ba2USe2S2
_symmetry_space_group_name_H-M 'I 4/m m m'
_symmetry_Int_Tables_number 139
_symmetry_space_group_name_Hall '-I 4 2'
_cell_length_a 5.220
_cell_length_b 5.220
_cell_length_c 16.604
_cell_angle_alpha 90.00
_cell_angle_beta 90.00
_cell_angle_gamma 90.00
loop_
_atom_site_label
_atom_site_type_symbol
_atom_site_fract_x
_atom_site_fract_y
_atom_site_fract_z
Ba1 Ba 0.000 0.000 0.137
U1 U 0.000 0.000 0.500
Se1 Se 0.000 0.000 0.331
S1 S 0.000 0.500 0.000

[6]
# PBE BaUSe2S, relaxed
# Fermi-level density of states: 0.806 states/eV per atom
# Crystal system: orthorhombic
data_BaUSe2S
_symmetry_space_group_name_H-M 'C m c m'
_symmetry_Int_Tables_number 63
_symmetry_space_group_name_Hall '-C 2c 2'
_cell_length_a 4.181
_cell_length_b 18.237
_cell_length_c 7.916
_cell_angle_alpha 90.00
_cell_angle_beta 90.00
_cell_angle_gamma 90.00
loop_
_atom_site_label
_atom_site_type_symbol
_atom_site_fract_x
_atom_site_fract_y
_atom_site_fract_z
Ba1 Ba 0.000 0.198 0.250
U1 U 0.000 0.500 0.000
Se1 Se 0.000 0.354 0.029
S1 S 0.000 0.010 0.250

Across the entries above, formation energy without anion corrections takes the values -0.29 -0.80 -0.57 -1.21 -1.76 -1.44 eV/atom, respectively.